# LaTmBi3, relaxed, DFT PBE-GGA
data_LaTmBi3
_symmetry_space_group_name_H-M 'P 1'
_symmetry_Int_Tables_number 1
_cell_length_a 6.060
_cell_length_b 5.996
_cell_length_c 9.111
_cell_angle_alpha 90.00
_cell_angle_beta 75.42
_cell_angle_gamma 90.00
loop_
_symmetry_equiv_pos_as_xyz
'x,y,z'
loop_
_atom_site_label
_atom_site_fract_x
_atom_site_fract_y
_atom_site_fract_z
Tm1 0.409 0.250 0.752
Tm2 0.591 0.750 0.248
Bi1 0.038 0.750 0.371
Bi2 0.533 0.250 0.373
Bi3 0.467 0.750 0.627
La1 0.900 0.750 0.792
Bi4 0.962 0.250 0.629
Bi5 0.280 0.750 0.002
Bi6 0.720 0.250 0.998
La2 0.100 0.250 0.208
# **Volume**: 160.2 Å³/f.u.
# **Energy relative to the elements**: -0.590 eV/atom
# **M_tot**: 0.00 μB per formula unit
# **SG**: P2_1/m, No. 11
# **Electronic total energy**: -4.80 eV per atom

---

# Pu2CuMo, relaxed, DFT PBE-GGA
data_Pu2CuMo
_symmetry_space_group_name_H-M 'P 1'
_symmetry_Int_Tables_number 1
_cell_length_a 3.243
_cell_length_b 4.953
_cell_length_c 4.953
_cell_angle_alpha 90.00
_cell_angle_beta 90.00
_cell_angle_gamma 90.00
loop_
_symmetry_equiv_pos_as_xyz
'x,y,z'
loop_
_atom_site_label
_atom_site_fract_x
_atom_site_fract_y
_atom_site_fract_z
Cu1 0.500 0.500 0.500
Mo1 0.500 0.000 0.000
Pu1 0.000 0.000 0.500
Pu2 0.000 0.500 0.000
# **Volume**: 79.6 Å³/f.u.
# **Energy relative to the elements**: 0.269 eV/atom
# **M_tot**: 9.30 μB per formula unit
# **SG**: P4/mmm, No. 123
# **Electronic total energy**: -10.63 eV per atom
# **Excess energy over the best structure of this formula in the dataset**: 0.000 eV per atom

---

# Ba4TcW, relaxed, DFT PBE-GGA
data_Ba4TcW
_symmetry_space_group_name_H-M 'P 1'
_symmetry_Int_Tables_number 1
_cell_length_a 6.908
_cell_length_b 6.908
_cell_length_c 6.908
_cell_angle_alpha 60.00
_cell_angle_beta 60.00
_cell_angle_gamma 60.00
loop_
_symmetry_equiv_pos_as_xyz
'x,y,z'
loop_
_atom_site_label
_atom_site_fract_x
_atom_site_fract_y
_atom_site_fract_z
Ba1 0.875 0.375 0.375
Tc1 0.750 0.750 0.750
Ba2 0.375 0.875 0.375
Ba3 0.375 0.375 0.875
Ba4 0.375 0.375 0.375
W1 0.000 0.000 0.000
# **Volume**: 233.1 Å³/f.u.
# **Energy relative to the elements**: 1.869 eV/atom
# **M_tot**: 6.81 μB per formula unit
# **SG**: F-43m, No. 216
# **Electronic total energy**: -3.30 eV per atom

---

# BaMnIr, relaxed, DFT PBE-GGA
data_BaMnIr
_symmetry_space_group_name_H-M 'P 1'
_symmetry_Int_Tables_number 1
_cell_length_a 4.045
_cell_length_b 5.252
_cell_length_c 6.998
_cell_angle_alpha 90.00
_cell_angle_beta 90.04
_cell_angle_gamma 90.00
loop_
_symmetry_equiv_pos_as_xyz
'x,y,z'
loop_
_atom_site_label
_atom_site_fract_x
_atom_site_fract_y
_atom_site_fract_z
Ba1 0.058 0.380 0.870
Mn1 0.563 0.880 0.018
Ba2 0.558 0.380 0.370
Ir1 0.054 0.880 0.549
Ir2 0.063 0.880 0.191
Mn2 0.554 0.880 0.722
# **Volume**: 74.3 Å³/f.u.
# **Energy relative to the elements**: 0.235 eV/atom
# **M_tot**: 0.94 μB per formula unit
# **SG**: P2/m, No. 10
# **Electronic total energy**: -6.42 eV per atom
# **Excess energy over the best structure of this formula in the dataset**: 0.221 eV per atom